# GGA+U CoSnIO2, relaxed
# Energy   -4.452 eV per atom
# Energy above the most stable polymorph in this dataset   0.000 eV/atom
data_CoSnIO2
_chemical_formula_sum 'Co1 Sn1 I1 O2'
_symmetry_space_group_name_H-M 'P 1'
_symmetry_Int_Tables_number 1
_symmetry_space_group_name_Hall 'P 1'
_cell_length_a 3.9671
_cell_length_b 3.9671
_cell_length_c 6.5752
_cell_angle_alpha 90.00
_cell_angle_beta 90.00
_cell_angle_gamma 90.00
loop_
_atom_site_label
_atom_site_type_symbol
_atom_site_fract_x
_atom_site_fract_y
_atom_site_fract_z
O1 O 0.5000 0.0000 0.0000
O2 O 0.0000 0.5000 0.0000
Co1 Co 0.5000 0.5000 0.5000
Sn1 Sn 0.0000 0.0000 0.0000
I1 I 0.0000 0.0000 0.5000